Entry 1:
# PRhCl2

PRhCl2 after structural relaxation (PBE, Alexandria).

Results
* distance to the lowest polymorph of the same formula: 442 meV/atom
* formation energy (no corrections): -294 meV per atom

```
data_PRhCl2
_cell_length_a 3.419
_cell_length_b 3.419
_cell_length_c 7.441
_cell_angle_alpha 90.00
_cell_angle_beta 90.00
_cell_angle_gamma 90.00
_symmetry_space_group_name_H-M 'P 4 m m'
_symmetry_Int_Tables_number 99
loop_
_symmetry_equiv_pos_as_xyz
'x,y,z'
'-y,x,z'
'-x,-y,z'
'y,-x,z'
'-x,y,z'
'y,x,z'
'x,-y,z'
'-y,-x,z'
loop_
_atom_site_label
_atom_site_type_symbol
_atom_site_fract_x
_atom_site_fract_y
_atom_site_fract_z
P1 P 0.000 0.000 0.000
Rh1 Rh 0.500 0.500 0.959
Cl1 Cl 0.000 0.000 0.278
Cl2 Cl 0.500 0.500 0.652
```

Entry 2:
# KLa2AuS4

KLa2AuS4 after structural relaxation (PBE, Alexandria).

Results
* formation energy (no corrections): -1635 meV per atom

```
data_KLa2AuS4
_cell_length_a 4.217
_cell_length_b 14.136
_cell_length_c 14.501
_cell_angle_alpha 90.00
_cell_angle_beta 90.00
_cell_angle_gamma 90.00
_symmetry_space_group_name_H-M 'C m c m'
_symmetry_Int_Tables_number 63
_symmetry_space_group_name_Hall '-C 2c 2'
loop_
_atom_site_label
_atom_site_type_symbol
_atom_site_fract_x
_atom_site_fract_y
_atom_site_fract_z
K1 K 0.000 0.115 0.250
La1 La 0.000 0.368 0.065
Au1 Au 0.000 0.157 0.750
S1 S 0.000 0.000 0.000
S2 S 0.000 0.264 0.608
S3 S 0.000 0.443 0.250
```

Question: Which of these has the lowest formation energy (no corrections)?
Answer: KLa2AuS4

Question: Which formula does entry 2 have?
Answer: KLa2AuS4

Question: Look up the formation energy (no corrections) of the second one.
Answer: -1635 meV per atom